# 1
TbPaCu, relaxed, DFT PBE-GGA; excess energy over the best structure of this formula in the dataset = 0 meV per atom; V = 22.72 A^3/atom
1.0
-2.7316 2.8924 -2.0163
-0.4780 -2.2189 -2.5355
-7.2260 -4.6374 3.1368
Tb Cu Pa
2 2 2
direct
0.2500 0.0900 0.8200
0.7500 0.9100 0.1800
0.7500 0.5427 0.9145
0.2500 0.4573 0.0855
0.7500 0.7118 0.5763
0.2500 0.2882 0.4237



# 2
Na5Er3H12, relaxed, DFT PBE-GGA; raw total energy = -3.288 eV per atom; V = 12.75 A^3/atom
1.0
10.9826 0.0000 0.0000
-3.6609 10.3545 0.0000
-3.6609 -5.1772 8.9673
H Er Na
48 12 20
direct
0.8529 0.2667 0.4357
0.5863 0.8529 0.4172
0.3529 0.4172 0.0863
0.8309 0.9137 0.2667
0.4137 0.2667 0.3309
0.6471 0.0643 0.2333
0.9172 0.8309 0.5643
0.4137 0.1471 0.5828
0.2667 0.8529 0.9357
0.8529 0.5863 0.9172
0.5863 0.7333 0.6691
0.8309 0.9172 0.0643
0.0643 0.6471 0.7333
0.5643 0.2333 0.1471
0.0828 0.1691 0.4357
0.1471 0.7333 0.5643
0.2333 0.6691 0.0863
0.9137 0.8309 0.7667
0.5828 0.9357 0.6691
0.7333 0.1471 0.0643
0.7667 0.3309 0.9137
0.6471 0.5828 0.9137
0.2667 0.4137 0.8309
0.6691 0.4357 0.5828
0.9172 0.0863 0.8529
0.7667 0.4357 0.3529
0.3309 0.5643 0.4172
0.1471 0.4137 0.0828
0.9357 0.3529 0.2667
0.0863 0.9172 0.3529
0.5643 0.3309 0.9172
0.0828 0.9137 0.1471
0.1691 0.0828 0.9357
0.9357 0.5828 0.1691
0.7333 0.5863 0.1691
0.2333 0.5643 0.6471
0.4172 0.3529 0.5863
0.6691 0.2333 0.5863
0.4357 0.6691 0.0828
0.4357 0.7667 0.8529
0.0863 0.1691 0.2333
0.4172 0.0643 0.3309
0.5828 0.6471 0.4137
0.0643 0.4172 0.8309
0.1691 0.0863 0.7333
0.3309 0.7667 0.4137
0.9137 0.0828 0.6471
0.3529 0.9357 0.7667
0.8750 0.7500 0.1250
0.7500 0.3750 0.1250
0.7500 0.8750 0.6250
0.6250 0.2500 0.3750
0.3750 0.6250 0.2500
0.1250 0.8750 0.7500
0.2500 0.6250 0.8750
0.6250 0.3750 0.7500
0.3750 0.7500 0.6250
0.8750 0.1250 0.2500
0.2500 0.1250 0.3750
0.1250 0.2500 0.8750
0.6250 0.7500 0.8750
0.1250 0.3750 0.2500
0.8750 0.2500 0.6250
0.5000 0.0000 0.5000
0.0000 0.5000 0.0000
0.3750 0.2500 0.1250
0.6250 0.8750 0.2500
0.5000 0.5000 0.5000
0.5000 0.5000 0.0000
0.7500 0.6250 0.3750
0.3750 0.1250 0.7500
0.2500 0.8750 0.1250
0.8750 0.6250 0.7500
0.1250 0.7500 0.3750
0.0000 0.0000 0.0000
0.0000 0.0000 0.5000
0.0000 0.5000 0.5000
0.7500 0.1250 0.8750
0.5000 0.0000 0.0000
0.2500 0.3750 0.6250



The lowest V belongs to which entry?
Na5Er3H12